YAuF2 | the Alexandria database | PBE | relaxed; formation energy (no corrections) = -2.056 eV per atom; excess energy over the best structure of this formula in the dataset = 339 meV/atom
1.0
0.000 3.151 3.151
3.151 0.000 3.151
3.151 3.151 0.000
F Y Au
2 1 1
Cartesian
4.727 4.727 4.727
1.576 1.576 1.576
0.000 0.000 0.000
3.151 3.151 3.151